1.
DFT (GGA-PBEsol) results for a relaxed structure of Zr3CdW.

Output
Magnetization   0.00 μB per formula unit
E_form   1.83 eV/atom

```
5
Lattice="-3.338 0.626 -3.692 -3.735 -0.911 3.223 -0.268 4.894 1.072" Properties=species:S:1:pos:R:3 pbc="T T T"
Cd 0.000 0.000 0.000
Zr -0.134 2.447 0.536
Zr -1.868 -0.455 1.611
Zr -1.669 0.313 -1.846
W -3.671 2.305 0.301
```


2.
DFT (GGA-PBEsol) results for a relaxed structure of Zn2BiPtPb.

Output
Magnetization   0.00 μB per formula unit
E_form   0.80 eV/atom

```
5
Lattice="4.987 0.000 0.000 0.000 4.987 0.000 0.000 0.000 5.162" Properties=species:S:1:pos:R:3 pbc="T T T"
Pt 0.000 0.000 2.581
Bi 2.493 2.493 2.581
Zn 2.493 0.000 0.000
Zn 0.000 2.493 0.000
Pb 0.000 0.000 0.000
```


3.
DFT (GGA-PBEsol) results for a relaxed structure of ScAl2Au2.

Output
Magnetization   0.00 μB per formula unit
E_form   -0.60 eV/atom

```
5
Lattice="3.864 0.000 0.000 0.000 3.864 0.000 -1.932 -1.932 6.053" Properties=species:S:1:pos:R:3 pbc="T T T"
Au 0.000 0.000 4.723
Au 1.932 1.932 1.330
Al 1.932 0.000 3.027
Al 0.000 1.932 3.027
Sc 0.000 0.000 0.000
```


4.
DFT (GGA-PBEsol) results for a relaxed structure of TcPRuO2.

Output
Magnetization   2.06 μB per formula unit

```
5
Lattice="-3.358 1.239 0.520 -0.560 -2.563 2.490 1.804 3.295 3.797" Properties=species:S:1:pos:R:3 pbc="T T T"
O -0.280 -1.281 1.245
O -1.679 0.620 0.260
Ru -1.057 0.986 3.403
Tc 0.000 0.000 0.000
P 0.902 1.648 1.898
```


In the order shown, the computed E_tot values come out to -6.63 -2.88 -5.12 -7.77 eV per atom.